YSc2Tl: optimized geometry, PBE-GGA.

Properties
- ΔH_f (0 K) (eV per atom) = 0.1354
- E above lowest polymorph (meV/atom) = 336

a b c (Å): 11.6248 11.6248 11.6248
angles (deg): 16.80 16.80 16.80
Fractional positions:
Y: 0.5000 0.5000 0.5000
Sc: 0.9119 0.9119 0.9119
Sc: 0.0881 0.0881 0.0881
Tl: 0.0000 0.0000 0.0000

SrPtBr2: optimized geometry, PBE-GGA.

Properties
- E above lowest polymorph (meV/atom) = 378

a b c (Å): 5.5962 5.5962 5.1680
angles (deg): 64.89 64.89 102.51
Fractional positions:
Sr: 0.0000 0.5000 0.5000
Br: 0.0000 0.0000 0.0000
Br: 0.5000 0.5000 0.0000
Pt: 0.5000 0.0000 0.5000